The following is a DFT calculation (PBE-GGA) of a relaxed structure of Cd5P3.

## Properties
V in Å³ per atom: 23.13
Energy above the most stable polymorph in this dataset in meV per atom: 0.0
Calculated total energy in hartree per atom: -0.0890
E_form in eV per atom: 0.18

Cell: 7.555 7.555 7.486 Å, 90.00 90.00 120.00°
Positions (direct):
Cd1 0.000 0.261 0.250
Cd2 0.000 0.739 0.750
Cd3 0.261 0.000 0.250
Cd4 0.261 0.261 0.750
Cd5 0.333 0.667 0.000
Cd6 0.333 0.667 0.500
Cd7 0.667 0.333 0.000
Cd8 0.667 0.333 0.500
Cd9 0.739 0.000 0.750
Cd10 0.739 0.739 0.250
P1 0.000 0.378 0.750
P2 0.000 0.622 0.250
P3 0.378 0.000 0.750
P4 0.378 0.378 0.250
P5 0.622 0.000 0.250
P6 0.622 0.622 0.750

---

The following is a DFT calculation (PBE-GGA) of a relaxed structure of Cd7P6.

## Properties
V in Å³ per atom: 25.46
Calculated total energy in hartree per atom: -0.1013
E_form in eV per atom: 0.23

Cell: 9.094 9.094 9.094 Å, 44.11 44.11 44.11°
Positions (direct):
Cd1 0.000 0.000 0.000
Cd2 0.077 0.077 0.568
Cd3 0.077 0.568 0.077
Cd4 0.432 0.923 0.923
Cd5 0.568 0.077 0.077
Cd6 0.923 0.432 0.923
Cd7 0.923 0.923 0.432
P1 0.158 0.158 0.158
P2 0.311 0.311 0.311
P3 0.396 0.396 0.396
P4 0.604 0.604 0.604
P5 0.689 0.689 0.689
P6 0.842 0.842 0.842

---

The following is a DFT calculation (PBE-GGA) of a relaxed structure of Cd5P.

## Properties
V in Å³ per atom: 22.67
Energy above the most stable polymorph in this dataset in meV per atom: 204.7
Calculated total energy in hartree per atom: -0.0489
E_form in eV per atom: 0.33

Cell: 5.773 5.773 5.773 Å, 60.00 60.00 60.00°
Positions (direct):
Cd1 0.000 0.000 0.000
Cd2 0.126 0.625 0.625
Cd3 0.625 0.126 0.625
Cd4 0.625 0.625 0.126
Cd5 0.625 0.625 0.625
P1 0.250 0.250 0.250

---

The following is a DFT calculation (PBE-GGA) of a relaxed structure of CdP5.

## Properties
V in Å³ per atom: 18.56
Energy above the most stable polymorph in this dataset in meV per atom: 0.0
Calculated total energy in hartree per atom: -0.1623
E_form in eV per atom: 0.25

Cell: 6.194 6.194 4.452 Å, 90.00 90.00 139.32°
Positions (direct):
Cd1 0.000 0.000 0.000
P1 0.220 0.780 0.000
P2 0.288 0.712 0.500
P3 0.500 0.500 0.500
P4 0.712 0.288 0.500
P5 0.780 0.220 0.000

---

The following is a DFT calculation (PBE-GGA) of a relaxed structure of Cd5P3.

## Properties
V in Å³ per atom: 21.83
Energy above the most stable polymorph in this dataset in meV per atom: 42.4
Calculated total energy in hartree per atom: -0.0874
E_form in eV per atom: 0.22

Cell: 6.824 6.824 4.179 Å, 90.00 90.00 116.17°
Positions (direct):
Cd1 0.000 0.000 0.000
Cd2 0.000 0.500 0.000
Cd3 0.281 0.281 0.500
Cd4 0.500 0.000 0.000
Cd5 0.719 0.719 0.500
P1 0.172 0.828 0.500
P2 0.500 0.500 0.000
P3 0.828 0.172 0.500

---

The following is a DFT calculation (PBE-GGA) of a relaxed structure of Cd5P.

## Properties
V in Å³ per atom: 22.92
Energy above the most stable polymorph in this dataset in meV per atom: 10.6
Calculated total energy in hartree per atom: -0.0561
E_form in eV per atom: 0.14

Cell: 4.584 7.503 7.503 Å, 32.20 90.00 90.00°
Positions (direct):
Cd1 0.000 0.000 0.000
Cd2 0.000 0.329 0.329
Cd3 0.500 0.135 0.135
Cd4 0.500 0.473 0.473
Cd5 0.500 0.806 0.806
P1 0.000 0.702 0.702

---

The following is a DFT calculation (PBE-GGA) of a relaxed structure of CdP5.

## Properties
V in Å³ per atom: 19.58
Energy above the most stable polymorph in this dataset in meV per atom: 5.9
Calculated total energy in hartree per atom: -0.1620
E_form in eV per atom: 0.25

Cell: 6.421 6.421 6.440 Å, 110.87 110.87 28.41°
Positions (direct):
Cd1 0.000 0.000 0.000
P1 0.074 0.074 0.447
P2 0.293 0.293 0.914
P3 0.455 0.455 0.543
P4 0.728 0.728 0.650
P5 0.815 0.815 0.400

---

The following is a DFT calculation (PBE-GGA) of a relaxed structure of Cd5P.

## Properties
V in Å³ per atom: 24.05
Energy above the most stable polymorph in this dataset in meV per atom: 257.4
Calculated total energy in hartree per atom: -0.0470
E_form in eV per atom: 0.39

Cell: 5.600 5.600 5.314 Å, 90.00 90.00 120.00°
Positions (direct):
Cd1 0.000 0.500 0.000
Cd2 0.333 0.667 0.500
Cd3 0.500 0.000 0.000
Cd4 0.500 0.500 0.000
Cd5 0.667 0.333 0.500
P1 0.000 0.000 0.500